No. 1
# PBE Pm3In3GaHg2, optimized geometry
# Volume = 26.83 Å³/atom
# Calculated formation energy = -0.36 eV/atom
data_Pm3In3GaHg2
_space_group_name_H-M_alt 'P -6 2 m'
_space_group_IT_number 189
_space_group_name_Hall 'P -6 -2'
_cell_length_a 8.4997
_cell_length_b 8.4997
_cell_length_c 3.8600
_cell_angle_alpha 90.00
_cell_angle_beta 90.00
_cell_angle_gamma 120.00
loop_
_atom_site_label
_atom_site_type_symbol
_atom_site_fract_x
_atom_site_fract_y
_atom_site_fract_z
Pm1 Pm 0.0000 0.7225 0.0000
In1 In 0.0000 0.3914 0.5000
Ga1 Ga 0.0000 0.0000 0.5000
Hg1 Hg 0.3333 0.6667 0.0000

---

No. 2
# PBE PmInGaHg, optimized geometry
# Volume = 24.43 Å³/atom
# Calculated formation energy = -0.31 eV/atom
data_PmInGaHg
_space_group_name_H-M_alt 'F -4 3 m'
_space_group_IT_number 216
_space_group_name_Hall 'F -4 2 3'
_cell_length_a 7.312
_cell_length_b 7.312
_cell_length_c 7.312
_cell_angle_alpha 90.00
_cell_angle_beta 90.00
_cell_angle_gamma 90.00
loop_
_atom_site_label
_atom_site_type_symbol
_atom_site_fract_x
_atom_site_fract_y
_atom_site_fract_z
Pm1 Pm 0.000 0.000 0.000
In1 In 0.000 0.000 0.500
Ga1 Ga 0.250 0.250 0.750
Hg1 Hg 0.250 0.250 0.250

---

No. 3
# PBE PmInGaHg, optimized geometry
# Volume = 23.90 Å³/atom
# Calculated formation energy = -0.43 eV/atom
data_PmInGaHg
_space_group_name_H-M_alt 'P m m m'
_space_group_IT_number 47
_cell_length_a 4.486
_cell_length_b 4.518
_cell_length_c 4.716
_cell_angle_alpha 90.00
_cell_angle_beta 90.00
_cell_angle_gamma 90.00
loop_
_space_group_symop_operation_xyz
'x,y,z'
'-x,-y,-z'
'-x,-y,z'
'x,y,-z'
'x,-y,-z'
'-x,y,z'
'-x,y,-z'
'x,-y,z'
loop_
_atom_site_label
_atom_site_type_symbol
_atom_site_fract_x
_atom_site_fract_y
_atom_site_fract_z
Pm1 Pm 0.000 0.000 0.000
In1 In 0.000 0.500 0.500
Ga1 Ga 0.500 0.500 0.000
Hg1 Hg 0.500 0.000 0.500

---

No. 4
# PBE Pm4InGaHg2, optimized geometry
# Volume = 27.38 Å³/atom
# Calculated formation energy = -0.49 eV/atom
data_Pm4InGaHg2
_space_group_name_H-M_alt 'R -3 m'
_space_group_IT_number 166
_space_group_name_Hall '-R 3 2"'
_cell_length_a 5.3765
_cell_length_b 5.3765
_cell_length_c 26.2529
_cell_angle_alpha 90.00
_cell_angle_beta 90.00
_cell_angle_gamma 120.00
loop_
_atom_site_label
_atom_site_type_symbol
_atom_site_fract_x
_atom_site_fract_y
_atom_site_fract_z
Pm1 Pm 0.0000 0.0000 0.1199
Pm2 Pm 0.0000 0.0000 0.3702
In1 In 0.0000 0.0000 0.5000
Ga1 Ga 0.0000 0.0000 0.0000
Hg1 Hg 0.0000 0.0000 0.2453

---

> What is the calculated formation energy in the first record?

-0.36 eV/atom